# 1
# Sr2CaIn2 GGA-PBE optimized geometry
# - ΔE_f (meV/atom) = -359
# - volume (A^3/atom) = 36.04
# - total magnetization (μB per formula unit) = 0.000
# - E above lowest polymorph (kcal/mol of atoms) = 0.000
# - density of states at the Fermi level (states/eV/cell) = 8.5
data_Sr2CaIn2
_chemical_formula_sum 'Sr4 Ca2 In4'
_symmetry_space_group_name_H-M 'I m m m'
_symmetry_Int_Tables_number 71
_symmetry_space_group_name_Hall '-I 2 2'
_cell_length_a 5.306
_cell_length_b 7.394
_cell_length_c 9.186
_cell_angle_alpha 90.00
_cell_angle_beta 90.00
_cell_angle_gamma 90.00
loop_
_atom_site_label
_atom_site_type_symbol
_atom_site_fract_x
_atom_site_fract_y
_atom_site_fract_z
Sr1 Sr 0.000 0.000 0.205
Ca1 Ca 0.000 0.500 0.000
In1 In 0.000 0.299 0.500

=====

# 2
# SrCa2In GGA-PBE optimized geometry
# - ΔE_f (meV/atom) = 37
# - volume (A^3/atom) = 38.83
# - total magnetization (μB per formula unit) = 0.000
# - density of states at the Fermi level (states/eV/cell) = 18.1
data_SrCa2In
_chemical_formula_sum 'Sr4 Ca8 In4'
_symmetry_space_group_name_H-M 'I -4 2 d'
_symmetry_Int_Tables_number 122
_symmetry_space_group_name_Hall 'I -4 2bw'
_cell_length_a 5.002
_cell_length_b 5.002
_cell_length_c 24.828
_cell_angle_alpha 90.00
_cell_angle_beta 90.00
_cell_angle_gamma 90.00
loop_
_atom_site_label
_atom_site_type_symbol
_atom_site_fract_x
_atom_site_fract_y
_atom_site_fract_z
Sr1 Sr 0.000 0.000 0.000
Ca1 Ca 0.227 0.250 0.625
In1 In 0.000 0.000 0.500

=====

# 3
# SrCa2In2 GGA-PBE optimized geometry
# - ΔE_f (meV/atom) = -302
# - volume (A^3/atom) = 35.59
# - total magnetization (μB per formula unit) = 0.000
# - E above lowest polymorph (kcal/mol of atoms) = 1.396
# - density of states at the Fermi level (states/eV/cell) = 11.0
data_SrCa2In2
_chemical_formula_sum 'Sr2 Ca4 In4'
_symmetry_space_group_name_H-M 'I 4/m m m'
_symmetry_Int_Tables_number 139
_symmetry_space_group_name_Hall '-I 4 2'
_cell_length_a 4.992
_cell_length_b 4.992
_cell_length_c 14.284
_cell_angle_alpha 90.00
_cell_angle_beta 90.00
_cell_angle_gamma 90.00
loop_
_atom_site_label
_atom_site_type_symbol
_atom_site_fract_x
_atom_site_fract_y
_atom_site_fract_z
Sr1 Sr 0.000 0.000 0.000
Ca1 Ca 0.000 0.500 0.250
In1 In 0.000 0.000 0.401

=====

# 4
# Sr5CaIn4 GGA-PBE optimized geometry
# - ΔE_f (meV/atom) = -343
# - volume (A^3/atom) = 36.66
# - total magnetization (μB per formula unit) = 0.000
# - density of states at the Fermi level (states/eV/cell) = 9.5
data_Sr5CaIn4
_chemical_formula_sum 'Sr5 Ca1 In4'
_symmetry_space_group_name_H-M 'P 4/m m m'
_symmetry_Int_Tables_number 123
_symmetry_space_group_name_Hall '-P 4 2'
_cell_length_a 4.103
_cell_length_b 4.103
_cell_length_c 21.778
_cell_angle_alpha 90.00
_cell_angle_beta 90.00
_cell_angle_gamma 90.00
loop_
_atom_site_label
_atom_site_type_symbol
_atom_site_fract_x
_atom_site_fract_y
_atom_site_fract_z
Sr1 Sr 0.000 0.000 0.000
Sr2 Sr 0.000 0.000 0.185
Sr3 Sr 0.000 0.000 0.367
Ca1 Ca 0.500 0.500 0.500
In1 In 0.500 0.500 0.092
In2 In 0.500 0.500 0.279

=====

# 5
# Sr2CaIn GGA-PBE optimized geometry
# - ΔE_f (meV/atom) = -108
# - volume (A^3/atom) = 42.61
# - total magnetization (μB per formula unit) = 0.003
# - density of states at the Fermi level (states/eV/cell) = 12.1
data_Sr2CaIn
_chemical_formula_sum 'Sr6 Ca3 In3'
_symmetry_space_group_name_H-M 'R -3 m'
_symmetry_Int_Tables_number 166
_symmetry_space_group_name_Hall '-R 3 2"'
_cell_length_a 4.0313
_cell_length_b 4.0313
_cell_length_c 36.3298
_cell_angle_alpha 90.00
_cell_angle_beta 90.00
_cell_angle_gamma 120.00
loop_
_atom_site_label
_atom_site_type_symbol
_atom_site_fract_x
_atom_site_fract_y
_atom_site_fract_z
Sr1 Sr 0.0000 0.0000 0.2385
Ca1 Ca 0.0000 0.0000 0.0000
In1 In 0.0000 0.0000 0.5000

=====

# 6
# SrCa3In3 GGA-PBE optimized geometry
# - ΔE_f (meV/atom) = -348
# - volume (A^3/atom) = 33.99
# - total magnetization (μB per formula unit) = 0.000
# - density of states at the Fermi level (states/eV/cell) = 21.6
data_SrCa3In3
_chemical_formula_sum 'Sr3 Ca9 In9'
_symmetry_space_group_name_H-M 'R 3 m'
_symmetry_Int_Tables_number 160
_symmetry_space_group_name_Hall 'R 3 -2"'
_cell_length_a 11.1210
_cell_length_b 11.1210
_cell_length_c 6.6649
_cell_angle_alpha 90.00
_cell_angle_beta 90.00
_cell_angle_gamma 120.00
loop_
_atom_site_label
_atom_site_type_symbol
_atom_site_fract_x
_atom_site_fract_y
_atom_site_fract_z
Sr1 Sr 0.0000 0.0000 0.0000
Ca1 Ca 0.0002 0.5001 0.0009
In1 In 0.9999 0.4999 0.5010

=====

# 7
# Sr2CaIn GGA-PBE optimized geometry
# - ΔE_f (meV/atom) = -221
# - volume (A^3/atom) = 40.73
# - total magnetization (μB per formula unit) = 0.000
# - density of states at the Fermi level (states/eV/cell) = 2.1
data_Sr2CaIn
_chemical_formula_sum 'Sr2 Ca1 In1'
_symmetry_space_group_name_H-M 'P 4/m m m'
_symmetry_Int_Tables_number 123
_symmetry_space_group_name_Hall '-P 4 2'
_cell_length_a 4.180
_cell_length_b 4.180
_cell_length_c 9.325
_cell_angle_alpha 90.00
_cell_angle_beta 90.00
_cell_angle_gamma 90.00
loop_
_atom_site_label
_atom_site_type_symbol
_atom_site_fract_x
_atom_site_fract_y
_atom_site_fract_z
Sr1 Sr 0.000 0.000 0.204
Ca1 Ca 0.500 0.500 0.500
In1 In 0.500 0.500 0.000

=====

# 8
# Sr4CaIn4 GGA-PBE optimized geometry
# - ΔE_f (meV/atom) = -227
# - volume (A^3/atom) = 40.51
# - total magnetization (μB per formula unit) = 0.000
# - density of states at the Fermi level (states/eV/cell) = 24.0
data_Sr4CaIn4
_chemical_formula_sum 'Sr8 Ca2 In8'
_symmetry_space_group_name_H-M 'P 42/n'
_symmetry_Int_Tables_number 86
_cell_length_a 10.279
_cell_length_b 10.279
_cell_length_c 6.901
_cell_angle_alpha 90.00
_cell_angle_beta 90.00
_cell_angle_gamma 90.00
loop_
_symmetry_equiv_pos_as_xyz
'x,y,z'
'-x,-y,-z'
'-y,x+1/2,z+1/2'
'y,-x+1/2,-z+1/2'
'-x+1/2,-y+1/2,z'
'x+1/2,y+1/2,-z'
'y+1/2,-x,z+1/2'
'-y+1/2,x,-z+1/2'
loop_
_atom_site_label
_atom_site_type_symbol
_atom_site_fract_x
_atom_site_fract_y
_atom_site_fract_z
Sr1 Sr 0.063 0.664 0.121
Ca1 Ca 0.250 0.250 0.250
In1 In 0.011 0.617 0.618

=====

The highest density of states at the Fermi level belongs to which entry? Sr4CaIn4

=====

Which of these has the lowest density of states at the Fermi level? number 7

=====

Which value of total magnetization does entry 1 give? 0.000 μB per formula unit